Material: NaW2O7
Method: DFT, GGA+U
State: relaxed

Output
Its space-group type is R-3m. As for the density of states at the Fermi level: 0.660 states/eV/atom. Its calculated total energy is -6.638 eV/atom. The value obtained for the volume is 11.9 A^3/atom. Its energy above the most stable polymorph in this dataset is 0.149 eV per atom. The calculation puts the calculated density at 7.0 g/cm3.

Unit cell a=10.329 b=10.329 c=10.329 alpha=20.59 beta=20.59 gamma=20.59
Element x y z (fractional)
Na  0.000  0.000  0.000
W  0.435  0.435  0.435
W  0.565  0.565  0.565
O  0.104  0.104  0.104
O  0.228  0.228  0.228
O  0.375  0.375  0.375
O  0.500  0.500  0.500
O  0.625  0.625  0.625
O  0.772  0.772  0.772
O  0.896  0.896  0.896